1.
NaHoTlCd, optimized geometry, DFT PBE; offset from the most stable computed form = 0.00 eV/f.u.
1.0
-4.2315 -1.7917 -2.5494
0.5792 -3.1910 -4.1348
-1.3478 -5.0649 0.3807
Ho Cd Na Tl
1 1 1 1
Direct
0.5000 0.5000 0.5000
0.7500 0.7500 0.7500
0.0000 0.0000 0.0000
0.2500 0.2500 0.2500


2.
YHgN2F, optimized geometry, DFT PBE; ΔE_f (raw) = 0.223 eV/atom; offset from the most stable computed form = 1.73 eV/f.u.
1.0
4.1748 0.0000 0.0000
0.0000 4.1748 0.0000
0.0000 0.0000 4.4036
Y N Hg F
1 2 1 1
Direct
0.5000 0.5000 0.5000
0.0000 0.5000 0.0000
0.5000 0.0000 0.0000
0.0000 0.0000 0.0000
0.0000 0.0000 0.5000


3.
BaTa2Be after structural relaxation, computed with PBE.

```
BaTa2Be
1.0
-0.1780 4.6633 -1.4666
-4.6673 -0.6029 -1.3350
1.3979 -1.0706 4.5639
Be Ba Ta
1 1 2
Direct
0.2490 0.7490 0.5000
0.5000 0.5000 0.0000
0.0005 0.0005 0.0000
0.7505 0.2505 0.5000
```


4.
Pa3Ni7Pt2 after structural relaxation, computed with PBE.

```
Pa3Ni7Pt2
1.0
-0.8768 -4.8837 0.6768
3.0791 -3.3990 -2.0108
5.4526 -2.6359 6.5697
Ni Pt Pa
7 2 3
Direct
0.4130 0.4130 0.2611
0.5870 0.0871 0.7389
0.5000 0.5000 0.5000
0.0871 0.5870 0.7389
0.9129 0.4130 0.2611
0.4130 0.9129 0.2611
0.5870 0.5870 0.7389
0.3328 0.3328 0.0016
0.6672 0.6672 0.9984
0.8595 0.8595 0.4214
0.1405 0.1405 0.5786
0.0000 0.0000 0.0000
```


| no. | final energy (eV/atom) |
| --- | --- |
| 1 | -2.483 |
| 2 | -4.834 |
| 3 | -6.263 |
| 4 | -7.289 |